# 1
This record from Alexandria via LeMat-Bulk describes an optimized crystal structure of CeHgS2. The functional is GGA-PBE.

Properties
energy above the most stable polymorph in this dataset = 0.006 eV per atom
space-group type = R-3m (166)

Unit cell a=10.111 b=10.111 c=10.111 alpha=23.60 beta=23.60 gamma=23.60
Fractional coordinates of all 4 atoms:
1 Ce 0.000 0.000 0.000
2 Hg 0.500 0.500 0.500
3 S 0.379 0.379 0.379
4 S 0.621 0.621 0.621

# 2
This record from Alexandria via LeMat-Bulk describes an optimized crystal structure of CeHgS3. The functional is GGA-PBE.

Properties
space-group type = P2_1/m (11)

Unit cell a=6.843 b=4.222 c=10.054 alpha=90.00 beta=90.20 gamma=90.00
Fractional coordinates of all 10 atoms:
1 Ce 0.244 0.250 0.073
2 Ce 0.756 0.750 0.927
3 Hg 0.370 0.250 0.608
4 Hg 0.630 0.750 0.392
5 S 0.005 0.750 0.136
6 S 0.250 0.750 0.510
7 S 0.499 0.750 0.137
8 S 0.501 0.250 0.863
9 S 0.750 0.250 0.490
10 S 0.995 0.250 0.864

# 3
This record from Alexandria via LeMat-Bulk describes an optimized crystal structure of Sr2CeHgS5. The functional is GGA-PBE.

Properties
space-group type = Cmc2_1 (36)

Unit cell a=9.049 b=9.049 c=12.591 alpha=90.00 beta=90.00 gamma=153.62
Fractional coordinates of all 18 atoms:
1 Sr 0.107 0.893 0.500
2 Sr 0.126 0.874 0.130
3 Sr 0.874 0.126 0.630
4 Sr 0.893 0.107 0.000
5 Ce 0.210 0.790 0.833
6 Ce 0.790 0.210 0.333
7 Hg 0.460 0.540 0.273
8 Hg 0.540 0.460 0.773
9 S 0.058 0.942 0.888
10 S 0.285 0.715 0.478
11 S 0.301 0.699 0.188
12 S 0.362 0.638 0.822
13 S 0.497 0.503 0.587
14 S 0.503 0.497 0.087
15 S 0.638 0.362 0.322
16 S 0.699 0.301 0.688
17 S 0.715 0.285 0.978
18 S 0.942 0.058 0.388

# 4
This record from Alexandria via LeMat-Bulk describes an optimized crystal structure of CeTl2HgS4. The functional is GGA-PBE.

Properties
space-group type = P2/m (10)

Unit cell a=7.064 b=4.065 c=7.930 alpha=90.00 beta=110.05 gamma=90.00
Fractional coordinates of all 8 atoms:
1 Ce 0.000 0.000 0.000
2 Tl 0.000 0.500 0.500
3 Tl 0.500 0.000 0.500
4 Hg 0.500 0.500 0.000
5 S 0.210 0.500 0.215
6 S 0.265 0.000 0.808
7 S 0.735 0.000 0.192
8 S 0.790 0.500 0.785

# 5
This record from Alexandria via LeMat-Bulk describes an optimized crystal structure of Ce3Tl3HgS8. The functional is GGA-PBE.

Properties
space-group type = C2/m (12)

Unit cell a=8.090 b=8.090 c=8.692 alpha=116.24 beta=116.24 gamma=63.47
Fractional coordinates of all 15 atoms:
1 Ce 0.000 0.000 0.000
2 Ce 0.000 0.500 0.000
3 Ce 0.500 0.000 0.000
4 Tl 0.000 0.500 0.500
5 Tl 0.500 0.000 0.500
6 Tl 0.500 0.500 0.500
7 Hg 0.500 0.500 0.000
8 S 0.197 0.757 0.211
9 S 0.237 0.237 0.202
10 S 0.243 0.803 0.789
11 S 0.288 0.288 0.816
12 S 0.712 0.712 0.184
13 S 0.757 0.197 0.211
14 S 0.763 0.763 0.798
15 S 0.803 0.243 0.789

# 6
This record from Alexandria via LeMat-Bulk describes an optimized crystal structure of Ce2Tl3HgS6. The functional is GGA-PBE.

Properties
space-group type = C2/m (12)

Unit cell a=7.317 b=7.317 c=7.746 alpha=97.36 beta=97.36 gamma=123.07
Fractional coordinates of all 12 atoms:
1 Ce 0.170 0.830 0.000
2 Ce 0.830 0.170 0.000
3 Tl 0.000 0.000 0.500
4 Tl 0.342 0.658 0.500
5 Tl 0.658 0.342 0.500
6 Hg 0.500 0.500 0.000
7 S 0.056 0.432 0.778
8 S 0.245 0.245 0.172
9 S 0.432 0.056 0.778
10 S 0.568 0.944 0.222
11 S 0.755 0.755 0.828
12 S 0.944 0.568 0.222

# 7
This record from Alexandria via LeMat-Bulk describes an optimized crystal structure of CeHgSb. The functional is GGA-PBE.

Properties
energy above the most stable polymorph in this dataset = 0.119 eV per atom
space-group type = P3m1 (156)

Unit cell a=4.782 b=4.782 c=4.407 alpha=90.00 beta=90.00 gamma=120.00
Fractional coordinates of all 3 atoms:
1 Ce 0.000 0.000 0.000
2 Hg 0.667 0.333 0.682
3 Sb 0.333 0.667 0.412

# 8
This record from Alexandria via LeMat-Bulk describes an optimized crystal structure of CeHgSb2. The functional is GGA-PBE.

Properties
energy above the most stable polymorph in this dataset = 0.000 eV per atom
space-group type = P4/mmm (123)

Unit cell a=4.900 b=4.900 c=4.332 alpha=90.00 beta=90.00 gamma=90.00
Fractional coordinates of all 4 atoms:
1 Ce 0.000 0.000 0.000
2 Hg 0.500 0.500 0.000
3 Sb 0.000 0.500 0.500
4 Sb 0.500 0.000 0.500

Number 1: formation energy without anion corrections -1.241 eV per atom. Number 2: formation energy without anion corrections -0.934 eV per atom. Number 3: formation energy without anion corrections -1.557 eV per atom. Number 4: formation energy without anion corrections -0.802 eV per atom. Number 5: formation energy without anion corrections -1.149 eV per atom. Number 6: formation energy without anion corrections -1.021 eV per atom. Number 7: formation energy without anion corrections -0.543 eV per atom. Number 8: formation energy without anion corrections -0.567 eV per atom.